No. 1
# Tb3ErNi8 PBE relaxed
# energy of formation = -5.34 eV per formula unit
# total magnetic moment = 0.000 μB per atom
# uncorrected energy = -5.84 eV/atom
data_Tb3ErNi8
_chemical_formula_sum 'Tb9 Er3 Ni24'
_space_group_name_H-M_alt 'R 3 m'
_space_group_IT_number 160
_space_group_name_Hall 'R 3 -2"'
_cell_length_a 5.0634
_cell_length_b 5.0634
_cell_length_c 24.8750
_cell_angle_alpha 90.00
_cell_angle_beta 90.00
_cell_angle_gamma 120.00
loop_
_atom_site_label
_atom_site_fract_x
_atom_site_fract_y
_atom_site_fract_z
_atom_site_occupancy
Tb1 0.0000 0.0000 0.0000 1
Tb2 0.0000 0.0000 0.1250 1
Tb3 0.0000 0.0000 0.5004 1
Er1 0.0000 0.0000 0.6251 1
Ni1 0.0000 0.0000 0.3125 1
Ni2 0.0000 0.0000 0.8126 1
Ni3 0.0002 0.5001 0.5631 1
Ni4 0.1671 0.3343 0.3956 1

No. 2
# PaVOs PBE relaxed
# excess energy over the best structure of this formula in the dataset = 392.2 meV/atom
# energy of formation = 0.25 eV per formula unit
# total magnetic moment = 0.002 μB per atom
# uncorrected energy = -9.87 eV/atom
data_PaVOs
_chemical_formula_sum 'Pa1 V1 Os1'
_space_group_name_H-M_alt 'P 3 m 1'
_space_group_IT_number 156
_cell_length_a 4.5089
_cell_length_b 4.5089
_cell_length_c 2.9050
_cell_angle_alpha 90.00
_cell_angle_beta 90.00
_cell_angle_gamma 120.00
loop_
_space_group_symop_operation_xyz
'x,y,z'
'-y,x-y,z'
'-x+y,-x,z'
'-y,-x,z'
'-x+y,y,z'
'x,x-y,z'
loop_
_atom_site_label
_atom_site_fract_x
_atom_site_fract_y
_atom_site_fract_z
_atom_site_occupancy
Pa1 0.0000 0.0000 0.0000 1
V1 0.6667 0.3333 0.2245 1
Os1 0.3333 0.6667 0.6680 1

No. 3
# Tb2Nd3Cd PBE relaxed
# excess energy over the best structure of this formula in the dataset = 0.0 meV/atom
# energy of formation = -0.54 eV per formula unit
# total magnetic moment = 0.000 μB per atom
# uncorrected energy = -4.17 eV/atom
data_Tb2Nd3Cd
_chemical_formula_sum 'Tb2 Nd3 Cd1'
_space_group_name_H-M_alt 'P 4/m m m'
_space_group_IT_number 123
_space_group_name_Hall '-P 4 2'
_cell_length_a 3.655
_cell_length_b 3.655
_cell_length_c 14.387
_cell_angle_alpha 90.00
_cell_angle_beta 90.00
_cell_angle_gamma 90.00
loop_
_atom_site_label
_atom_site_fract_x
_atom_site_fract_y
_atom_site_fract_z
_atom_site_occupancy
Tb1 0.000 0.000 0.175 1
Nd1 0.500 0.500 0.000 1
Nd2 0.500 0.500 0.352 1
Cd1 0.000 0.000 0.500 1

No. 4
# BaU2Pd2S6 PBE relaxed
# formation energy without anion corrections = -1162 meV per atom
# total magnetic moment = 0.180 μB per atom
# uncorrected energy = -6.58 eV/atom
data_BaU2Pd2S6
_chemical_formula_sum 'Ba1 U2 Pd2 S6'
_space_group_name_H-M_alt 'P -1'
_space_group_IT_number 2
_cell_length_a 7.053
_cell_length_b 7.157
_cell_length_c 7.324
_cell_angle_alpha 94.97
_cell_angle_beta 113.41
_cell_angle_gamma 119.35
loop_
_space_group_symop_operation_xyz
'x,y,z'
'-x,-y,-z'
loop_
_atom_site_label
_atom_site_fract_x
_atom_site_fract_y
_atom_site_fract_z
_atom_site_occupancy
Ba1 0.000 0.000 0.000 1
U1 0.334 0.334 0.668 1
Pd1 0.160 0.721 0.676 1
S1 0.149 0.915 0.429 1
S2 0.236 0.465 0.333 1
S3 0.465 0.703 0.953 1

No. 5
# Y8Er3Sc2 PBE relaxed
# energy of formation = 3.11 eV per formula unit
# total magnetic moment = 0.000 μB per atom
# uncorrected energy = -5.77 eV/atom
data_Y8Er3Sc2
_chemical_formula_sum 'Y16 Er6 Sc4'
_space_group_name_H-M_alt 'C m m m'
_space_group_IT_number 65
_space_group_name_Hall '-C 2 2'
_cell_length_a 7.644
_cell_length_b 19.505
_cell_length_c 5.583
_cell_angle_alpha 90.00
_cell_angle_beta 90.00
_cell_angle_gamma 90.00
loop_
_atom_site_label
_atom_site_fract_x
_atom_site_fract_y
_atom_site_fract_z
_atom_site_occupancy
Y1 0.000 0.134 0.000 1
Y2 0.000 0.323 0.000 1
Y3 0.210 0.389 0.500 1
Er1 0.000 0.000 0.500 1
Er2 0.215 0.500 0.000 1
Sc1 0.000 0.241 0.500 1

No. 6
# Zr2CoBi PBE relaxed
# energy of formation = -0.67 eV per formula unit
# total magnetic moment = 0.000 μB per atom
# uncorrected energy = -7.19 eV/atom
data_Zr2CoBi
_chemical_formula_sum 'Zr6 Co3 Bi3'
_space_group_name_H-M_alt 'R -3 m'
_space_group_IT_number 166
_space_group_name_Hall '-R 3 2"'
_cell_length_a 3.6322
_cell_length_b 3.6322
_cell_length_c 23.3509
_cell_angle_alpha 90.00
_cell_angle_beta 90.00
_cell_angle_gamma 120.00
loop_
_atom_site_label
_atom_site_fract_x
_atom_site_fract_y
_atom_site_fract_z
_atom_site_occupancy
Zr1 0.0000 0.0000 0.2272 1
Co1 0.0000 0.0000 0.5000 1
Bi1 0.0000 0.0000 0.0000 1

No. 7
# LaPm6In PBE relaxed
# energy of formation = -0.87 eV per formula unit
# total magnetic moment = 0.000 μB per atom
# uncorrected energy = -4.63 eV/atom
data_LaPm6In
_chemical_formula_sum 'La1 Pm6 In1'
_space_group_name_H-M_alt 'P 4/m m m'
_space_group_IT_number 123
_space_group_name_Hall '-P 4 2'
_cell_length_a 5.015
_cell_length_b 5.015
_cell_length_c 10.421
_cell_angle_alpha 90.00
_cell_angle_beta 90.00
_cell_angle_gamma 90.00
loop_
_atom_site_label
_atom_site_fract_x
_atom_site_fract_y
_atom_site_fract_z
_atom_site_occupancy
La1 0.000 0.000 0.000 1
Pm1 0.000 0.500 0.261 1
Pm2 0.500 0.500 0.000 1
Pm3 0.500 0.500 0.500 1
In1 0.000 0.000 0.500 1

No. 8
# HfMgHgIr PBE relaxed
# energy of formation = -1.45 eV per formula unit
# total magnetic moment = 0.000 μB per atom
# uncorrected energy = -5.54 eV/atom
data_HfMgHgIr
_chemical_formula_sum 'Hf4 Mg4 Hg4 Ir4'
_space_group_name_H-M_alt 'F -4 3 m'
_space_group_IT_number 216
_space_group_name_Hall 'F -4 2 3'
_cell_length_a 6.650
_cell_length_b 6.650
_cell_length_c 6.650
_cell_angle_alpha 90.00
_cell_angle_beta 90.00
_cell_angle_gamma 90.00
loop_
_atom_site_label
_atom_site_fract_x
_atom_site_fract_y
_atom_site_fract_z
_atom_site_occupancy
Hf1 0.000 0.000 0.000 1
Mg1 0.000 0.000 0.500 1
Hg1 0.250 0.250 0.750 1
Ir1 0.250 0.250 0.250 1

No. 9
# Tl2CuO2 PBE relaxed
# excess energy over the best structure of this formula in the dataset = 0.0 meV/atom
# formation energy without anion corrections = -487 meV per atom
# total magnetic moment = 0.000 μB per atom
# uncorrected energy = -4.24 eV/atom
data_Tl2CuO2
_chemical_formula_sum 'Tl8 Cu4 O8'
_space_group_name_H-M_alt 'C 1 2/m 1'
_space_group_IT_number 12
_cell_length_a 11.731
_cell_length_b 5.525
_cell_length_c 7.984
_cell_angle_alpha 90.00
_cell_angle_beta 132.31
_cell_angle_gamma 90.00
loop_
_space_group_symop_operation_xyz
'x,y,z'
'-x,-y,-z'
'-x,y,-z'
'x,-y,z'
'x+1/2,y+1/2,z'
'-x+1/2,-y+1/2,-z'
'-x+1/2,y+1/2,-z'
'x+1/2,-y+1/2,z'
loop_
_atom_site_label
_atom_site_fract_x
_atom_site_fract_y
_atom_site_fract_z
_atom_site_occupancy
Tl1 0.083 0.000 0.307 1
Tl2 0.180 0.500 0.085 1
Cu1 0.155 0.500 0.649 1
O1 0.009 0.500 0.336 1
O2 0.177 0.000 0.039 1

No. 10
# MnCrIrS PBE relaxed
# excess energy over the best structure of this formula in the dataset = 12.3 meV/atom
# formation energy without anion corrections = -157 meV per atom
# total magnetic moment = 0.185 μB per atom
# uncorrected energy = -8.10 eV/atom
data_MnCrIrS
_chemical_formula_sum 'Mn1 Cr1 Ir1 S1'
_space_group_name_H-M_alt 'P 1 m 1'
_space_group_IT_number 6
_cell_length_a 4.331
_cell_length_b 2.806
_cell_length_c 4.349
_cell_angle_alpha 90.00
_cell_angle_beta 104.60
_cell_angle_gamma 90.00
loop_
_space_group_symop_operation_xyz
'x,y,z'
'x,-y,z'
loop_
_atom_site_label
_atom_site_fract_x
_atom_site_fract_y
_atom_site_fract_z
_atom_site_occupancy
Mn1 0.000 0.000 0.000 1
Cr1 0.621 0.000 0.382 1
Ir1 0.467 0.500 0.852 1
S1 0.039 0.500 0.419 1

No. 11
# Y2TlCl PBE relaxed
# excess energy over the best structure of this formula in the dataset = 924.1 meV/atom
# formation energy without anion corrections = 33 meV per atom
# total magnetic moment = 0.069 μB per atom
# uncorrected energy = -4.25 eV/atom
data_Y2TlCl
_chemical_formula_sum 'Y8 Tl4 Cl4'
_space_group_name_H-M_alt 'F -4 3 m'
_space_group_IT_number 216
_space_group_name_Hall 'F -4 2 3'
_cell_length_a 7.663
_cell_length_b 7.663
_cell_length_c 7.663
_cell_angle_alpha 90.00
_cell_angle_beta 90.00
_cell_angle_gamma 90.00
loop_
_atom_site_label
_atom_site_fract_x
_atom_site_fract_y
_atom_site_fract_z
_atom_site_occupancy
Y1 0.000 0.000 0.000 1
Y2 0.250 0.250 0.250 1
Tl1 0.000 0.000 0.500 1
Cl1 0.250 0.250 0.750 1

No. 12
# Ac3RhPbSe PBE relaxed
# formation energy without anion corrections = -896 meV per atom
# total magnetic moment = 0.000 μB per atom
# uncorrected energy = -5.37 eV/atom
data_Ac3RhPbSe
_chemical_formula_sum 'Ac6 Rh2 Pb2 Se2'
_space_group_name_H-M_alt 'P 1 21/m 1'
_space_group_IT_number 11
_cell_length_a 7.927
_cell_length_b 5.424
_cell_length_c 9.782
_cell_angle_alpha 90.00
_cell_angle_beta 103.52
_cell_angle_gamma 90.00
loop_
_space_group_symop_operation_xyz
'x,y,z'
'-x,-y,-z'
'-x,y+1/2,-z'
'x,-y+1/2,z'
loop_
_atom_site_label
_atom_site_fract_x
_atom_site_fract_y
_atom_site_fract_z
_atom_site_occupancy
Ac1 0.025 0.250 0.299 1
Ac2 0.284 0.250 0.948 1
Ac3 0.443 0.750 0.655 1
Rh1 0.315 0.750 0.921 1
Pb1 0.252 0.750 0.203 1
Se1 0.198 0.250 0.612 1

No. 13
# Ba2LaRu PBE relaxed
# excess energy over the best structure of this formula in the dataset = 173.0 meV/atom
# energy of formation = 0.94 eV per formula unit
# total magnetic moment = 0.245 μB per atom
# uncorrected energy = -4.28 eV/atom
data_Ba2LaRu
_chemical_formula_sum 'Ba8 La4 Ru4'
_space_group_name_H-M_alt 'I -4 2 d'
_space_group_IT_number 122
_space_group_name_Hall 'I -4 2bw'
_cell_length_a 12.125
_cell_length_b 12.125
_cell_length_c 5.101
_cell_angle_alpha 90.00
_cell_angle_beta 90.00
_cell_angle_gamma 90.00
loop_
_atom_site_label
_atom_site_fract_x
_atom_site_fract_y
_atom_site_fract_z
_atom_site_occupancy
Ba1 0.095 0.750 0.125 1
La1 0.000 0.000 0.500 1
Ru1 0.000 0.000 0.000 1

No. 14
# AcCd4Pt4 PBE relaxed
# energy of formation = -3.47 eV per formula unit
# total magnetic moment = 0.000 μB per atom
# uncorrected energy = -3.93 eV/atom
data_AcCd4Pt4
_chemical_formula_sum 'Ac2 Cd8 Pt8'
_space_group_name_H-M_alt 'P 42/n m c'
_space_group_IT_number 137
_cell_length_a 6.805
_cell_length_b 6.805
_cell_length_c 8.736
_cell_angle_alpha 90.00
_cell_angle_beta 90.00
_cell_angle_gamma 90.00
loop_
_space_group_symop_operation_xyz
'x,y,z'
'-x,-y,-z'
'-y+1/2,x,z+1/2'
'y+1/2,-x,-z+1/2'
'-x+1/2,-y+1/2,z'
'x+1/2,y+1/2,-z'
'y,-x+1/2,z+1/2'
'-y,x+1/2,-z+1/2'
'x+1/2,-y,-z'
'-x+1/2,y,z'
'-y,-x,-z+1/2'
'y,x,z+1/2'
'-x,y+1/2,-z'
'x,-y+1/2,z'
'y+1/2,x+1/2,-z+1/2'
'-y+1/2,-x+1/2,z+1/2'
loop_
_atom_site_label
_atom_site_fract_x
_atom_site_fract_y
_atom_site_fract_z
_atom_site_occupancy
Ac1 0.250 0.750 0.250 1
Cd1 0.004 0.750 0.641 1
Pt1 0.049 0.250 0.044 1

No. 15
# TlInPt2 PBE relaxed
# energy of formation = 0.03 eV per formula unit
# total magnetic moment = 0.000 μB per atom
# uncorrected energy = -4.29 eV/atom
data_TlInPt2
_chemical_formula_sum 'Tl4 In4 Pt8'
_space_group_name_H-M_alt 'I -4 2 d'
_space_group_IT_number 122
_space_group_name_Hall 'I -4 2bw'
_cell_length_a 7.527
_cell_length_b 7.527
_cell_length_c 5.864
_cell_angle_alpha 90.00
_cell_angle_beta 90.00
_cell_angle_gamma 90.00
loop_
_atom_site_label
_atom_site_fract_x
_atom_site_fract_y
_atom_site_fract_z
_atom_site_occupancy
Tl1 0.000 0.000 0.000 1
In1 0.000 0.000 0.500 1
Pt1 0.239 0.250 0.625 1

No. 16
# YTiAs2Br PBE relaxed
# excess energy over the best structure of this formula in the dataset = 741.5 meV/atom
# formation energy without anion corrections = 221 meV per atom
# total magnetic moment = 0.341 μB per atom
# uncorrected energy = -4.84 eV/atom
data_YTiAs2Br
_chemical_formula_sum 'Y1 Ti1 As2 Br1'
_space_group_name_H-M_alt 'P 4/m m m'
_space_group_IT_number 123
_space_group_name_Hall '-P 4 2'
_cell_length_a 5.416
_cell_length_b 5.416
_cell_length_c 5.395
_cell_angle_alpha 90.00
_cell_angle_beta 90.00
_cell_angle_gamma 90.00
loop_
_atom_site_label
_atom_site_fract_x
_atom_site_fract_y
_atom_site_fract_z
_atom_site_occupancy
Y1 0.000 0.000 0.000 1
Ti1 0.500 0.500 0.500 1
As1 0.000 0.500 0.000 1
Br1 0.000 0.000 0.500 1